(1)
Below is a geometry-optimized Rb3LiZn structure, with properties calculated at the PBE-GGA level.

Cell: 6.909 6.909 6.909 Å, 90.00 90.00 90.00°
Positions (direct):
Rb  0.000  0.500  0.000
Li  0.500  0.500  0.500
Rb  0.000  0.000  0.500
Zn  0.000  0.000  0.000
Rb  0.500  0.000  0.000

E above lowest polymorph (meV per atom): 0
Space-group type: No. 221
Energy of formation (eV per atom): 0.261
Theoretical density (g/cm³): 1.655
E (eV per atom): -0.9570



(2)
Below is a geometry-optimized Rb2LiZn structure, with properties calculated at the PBE-GGA level.

Cell: 10.273 10.273 8.168 Å, 51.03 51.03 90.00°
Positions (direct):
Rb  0.875  0.906  0.750
Li  0.250  0.750  0.500
Rb  0.094  0.625  0.250
Zn  0.000  0.000  0.000
Rb  0.656  0.125  0.250
Zn  0.750  0.250  0.500
Li  0.500  0.500  0.000
Rb  0.375  0.344  0.750

Space-group type: No. 122
Energy of formation (eV per atom): 0.302
Theoretical density (g/cm³): 2.050
E (eV per atom): -0.9785



(3)
Below is a geometry-optimized RbLi2Zn structure, with properties calculated at the PBE-GGA level.

Cell: 5.677 5.677 10.066 Å, 73.62 73.62 90.00°
Positions (direct):
Zn  0.500  0.500  0.000
Li  0.374  0.625  0.250
Zn  0.250  0.750  0.500
Li  0.376  0.125  0.250
Li  0.375  0.624  0.750
Rb  0.750  0.250  0.500
Rb  0.000  0.000  0.000
Li  0.875  0.626  0.750

Space-group type: No. 122
Energy of formation (eV per atom): 0.213
Theoretical density (g/cm³): 1.839
E (eV per atom): -1.3046